Material: Ca3HfU2P6
Method: DFT, PBE-GGA
State: relaxed

abc: 6.840 11.848 7.020
angles: 90.00 108.98 90.00
Space group C2/m (No. 12)
Inequivalent atoms, fractional coordinates:
Ca: 0.000 0.000 0.000
Ca: 0.000 0.333 0.000
Hf: 0.000 0.500 0.500
U: 0.000 0.167 0.500
P: 0.238 0.337 0.725
P: 0.249 0.000 0.726

Computed properties:
Energy of formation   -1.125 eV/atom
DFT total energy   -168.99 eV per cell